Cr2SiTeO | the Alexandria database | PBE with a Hubbard U | optimized geometry; raw total energy = -17.27 eV for the cell shown; SG = P4/mmm
1.0
5.156 0.000 0.000
0.000 5.303 0.000
0.000 0.000 5.156
Cr Si Te O
2 1 1 1
Cartesian
0.000 0.000 2.578
2.578 0.000 0.000
0.000 2.652 0.000
0.000 0.000 0.000
2.578 2.652 2.578